1.
NaPmHgBi | PBE | relaxed

## Properties
Fermi-level density of states, states/eV per atom: 0.797
Formation energy from the elements, kcal/mol of atoms: -10.392

Cell lengths 5.438, 5.438, 5.438 Å; angles 60.00, 60.00, 60.00 degrees
Sites, in units of the cell vectors:
Na 0.000 0.000 0.000
Pm 0.500 0.500 0.500
Hg 0.750 0.750 0.750
Bi 0.250 0.250 0.250

2.
NaHg2BiPt | PBE | relaxed

## Properties
Fermi-level density of states, states/eV per atom: 0.589
Formation energy from the elements, kcal/mol of atoms: -1.122

Cell lengths 5.315, 5.315, 5.445 Å; angles 90.00, 90.00, 90.00 degrees
Sites, in units of the cell vectors:
Na 0.000 0.000 0.000
Hg 0.000 0.500 0.500
Hg 0.500 0.000 0.500
Bi 0.500 0.500 0.000
Pt 0.500 0.500 0.500